VASP calculation (PBE-GGA) on crystalline Li2TeI2 at its relaxed geometry.

Structure (POSCAR):
```
Li2TeI2
1.0
-2.151 -4.026 1.832
2.216 -2.744 -3.428
5.573 -4.360 3.564
I Te Li
2 1 2
direct
0.345 0.345 0.309
0.655 0.655 0.691
0.000 0.000 0.000
0.750 0.250 0.500
0.250 0.750 0.500
```

- calculated total energy (eV per atom) = -2.53
- E above lowest polymorph (meV/atom) = 0.0
- energy relative to the elements, uncorrected (meV/atom) = -517.3